TlCoMoO4 after structural relaxation. Source: Alexandria, functional PBE+U.

POSCAR file:
```
TlCoMoO4
1.0
-6.1568 -2.7143 1.3642
0.4250 -3.5137 -5.0768
5.0724 -3.7583 3.0191
Tl O Mo Co
2 8 2 2
direct
0.7365 0.7498 0.0193
0.2636 0.2502 0.9807
0.5080 0.2502 0.7532
0.8621 0.4945 0.7038
0.8621 0.0058 0.7042
0.4920 0.7498 0.2468
0.1379 0.9942 0.2958
0.4299 0.7503 0.6469
0.1379 0.5055 0.2962
0.5701 0.2497 0.3531
0.2936 0.7499 0.3709
0.7064 0.2501 0.6291
0.3128 0.2497 0.4597
0.6872 0.7503 0.5403
```

raw total energy = -6.002 eV/atom
space group = P-1, No. 2
magnetic moment = 2.00 μB/f.u.